Entry 1:
Density functional theory data (PBE) for NbSi2Pt after structural relaxation.

Properties
- E_tot: -6.904 eV/atom
- N(E_F): 5.27 states/eV/cell
- Calculated density: 8.54 Mg/m³

Lattice parameters (Å, degrees): 5.5995 5.5995 5.5995 106.28 106.28 116.05
Positions (direct):
Nb (0.0000, 0.0000, 0.0000)
Nb (0.7500, 0.2500, 0.5000)
Si (0.1544, 0.6250, 0.0294)
Si (0.3750, 0.4044, 0.5294)
Si (0.5956, 0.1250, 0.9706)
Si (0.8750, 0.8456, 0.4706)
Pt (0.2500, 0.7500, 0.5000)
Pt (0.5000, 0.5000, 0.0000)

Entry 2:
Density functional theory data (PBE) for NbSi2Pt after structural relaxation.

Properties
- E_tot: -7.214 eV/atom
- N(E_F): 2.73 states/eV/cell
- Calculated density: 9.64 Mg/m³

Lattice parameters (Å, degrees): 4.2450 4.2450 3.2896 90.00 90.00 90.00
Positions (direct):
Nb (0.0000, 0.0000, 0.0000)
Si (0.0000, 0.5000, 0.5000)
Si (0.5000, 0.0000, 0.5000)
Pt (0.5000, 0.5000, 0.0000)

Entry 3:
Density functional theory data (PBE) for NbSi3Pt after structural relaxation.

Properties
- E_tot: -5.426 eV/atom
- N(E_F): 6.27 states/eV/cell
- Calculated density: 5.66 Mg/m³

Lattice parameters (Å, degrees): 4.7801 4.7801 4.7801 90.00 90.00 90.00
Positions (direct):
Nb (0.0000, 0.0000, 0.0000)
Si (0.0000, 0.0000, 0.5000)
Si (0.0000, 0.5000, 0.0000)
Si (0.5000, 0.0000, 0.0000)
Pt (0.5000, 0.5000, 0.5000)